[1]
The following is a DFT calculation (PBE) of a relaxed FeCo2Ru crystal.

The total energy comes out at -7.7947 eV/atom. The distance to the lowest polymorph of the same formula is 82 meV per atom. As for the formation energy: 0.193 eV/atom. The space group is F-43m (216).

Lattice parameters (Å, degrees): 4.122 4.122 4.122 60.00 60.00 60.00
Site moments in Bohr magnetons follow the coordinates.
Positions (direct):
Co: 0.000 0.000 0.000  1.94
Co: 0.250 0.250 0.250  1.88
Fe: 0.500 0.500 0.500  2.80
Ru: 0.750 0.750 0.750  1.17



[2]
The following is a DFT calculation (PBE) of a relaxed FeCoRu4 crystal.

The total energy comes out at -8.0818 eV/atom. As for the formation energy: 0.697 eV/atom. The space group is F-43m (216).

Lattice parameters (Å, degrees): 5.016 5.016 5.016 60.00 60.00 60.00
Site moments in Bohr magnetons follow the coordinates.
Positions (direct):
Fe: 0.000 0.000 0.000  3.10
Co: 0.750 0.750 0.750  1.94
Ru: 0.875 0.375 0.375  0.48
Ru: 0.375 0.375 0.875  0.48
Ru: 0.375 0.875 0.375  0.48
Ru: 0.375 0.375 0.375  0.48